1.
{"formula": "Na2LiAc", "functional": "PBE", "state": "relaxed", "lattice": [[-2.827, 0.895, 2.305], [-3.514, 0.173, -1.317], [-3.669, -11.298, 2.949]], "species": ["Ac", "Na", "Na", "Li"], "frac_coords": [[0.500, 0.500, 0.501], [0.075, 0.075, 0.775], [0.258, 0.258, 0.225], [0.667, 0.667, 0.999]], "e_above_lowest_polymorph_kj_per_mol_atoms": 0.0, "total_energy_ev_per_cell": -8.11}

***

2.
{"formula": "CaTbRuAu", "functional": "PBE", "state": "relaxed", "lattice": [[-3.669, -1.440, 3.010], [-2.525, -4.155, -0.979], [0.581, -3.993, 2.884]], "species": ["Tb", "Ru", "Ca", "Au"], "frac_coords": [[0.500, 0.500, 0.500], [0.750, 0.750, 0.750], [0.000, 0.000, 0.000], [0.250, 0.250, 0.250]], "total_energy_ev_per_cell": -20.63}

***

3.
{"formula": "RuC", "functional": "PBE", "state": "relaxed", "lattice": [[5.496, 0.014, -0.002], [4.759, 2.749, -0.001], [0.002, 0.000, 2.787]], "species": ["C", "Ru", "C", "Ru"], "frac_coords": [[0.057, 0.057, 0.125], [0.257, 0.257, 0.125], [0.693, 0.693, 0.625], [0.493, 0.493, 0.625]], "e_above_lowest_polymorph_kj_per_mol_atoms": 43.8, "total_energy_ev_per_cell": -33.72}

***

Q: What is the formula in the third record?
A: RuC